Entry from Alexandria via LeMat-Bulk: Li2CoRh at its PBEsol-relaxed geometry (SCAN).

Cell lengths 2.603, 4.274, 4.622 Å; angles 102.59, 106.36, 90.00 degrees
Fractional coordinates of all 4 atoms:
Co  0.000  0.500  0.000
Rh  0.500  0.000  0.000
Li  0.253  0.250  0.505
Li  0.747  0.750  0.495

Summary:
Final energy: -14.04 eV/atom
Energy relative to the elements: -0.08 eV per atom
Spin magnetization: 2.1 μB/f.u.